Na2AcMoO4 | the Alexandria database | GGA+U | relaxed; calculated volume = 15.00 A^3/atom; total DFT energy (no corrections) = -6.237 eV per atom
1.0
4.722 0.002 0.000
-0.003 4.722 0.000
-2.359 -2.362 5.382
O Mo Na Ac
4 1 2 1
direct
0.550 0.050 0.099
0.741 0.741 0.481
0.950 0.450 0.901
0.259 0.259 0.519
0.750 0.250 0.500
0.250 0.750 0.500
0.000 0.000 0.000
0.500 0.500 0.000